<w>
## In2ReRu (meta-GGA SCAN)

Data for a crystal of In2ReRu relaxed with PBEsol.

DOS(E_F) in states/eV per cell: 13.63

The structure in CIF format:
```
data_In2ReRu
_chemical_formula_sum 'In8 Re4 Ru4'
_space_group_name_H-M_alt 'F m -3 m'
_space_group_IT_number 225
_space_group_name_Hall '-F 4 2 3'
_cell_length_a 6.4266
_cell_length_b 6.4266
_cell_length_c 6.4266
_cell_angle_alpha 90.00
_cell_angle_beta 90.00
_cell_angle_gamma 90.00
loop_
_atom_site_label
_atom_site_fract_x
_atom_site_fract_y
_atom_site_fract_z
In1 0.2500 0.2500 0.2500
Re1 0.0000 0.0000 0.0000
Ru1 0.0000 0.0000 0.5000
```

<x>
## In2ReRu (meta-GGA SCAN)

Data for a crystal of In2ReRu relaxed with PBEsol.

DOS(E_F) in states/eV per cell: 5.67

The structure in CIF format:
```
data_In2ReRu
_chemical_formula_sum 'In4 Re2 Ru2'
_space_group_name_H-M_alt 'I m m m'
_space_group_IT_number 71
_space_group_name_Hall '-I 2 2'
_cell_length_a 2.9970
_cell_length_b 4.9657
_cell_length_c 9.1204
_cell_angle_alpha 90.00
_cell_angle_beta 90.00
_cell_angle_gamma 90.00
loop_
_atom_site_label
_atom_site_fract_x
_atom_site_fract_y
_atom_site_fract_z
In1 0.0000 0.0000 0.2428
Re1 0.0000 0.5000 0.0000
Ru1 0.0000 0.5000 0.5000
```

Energy above the most stable structure, in eV/atom: <w> 0.000; <x> 0.057

<w>
## In3ReS (meta-GGA SCAN)

Data for a crystal of In3ReS relaxed with PBEsol.

DOS(E_F) in states/eV per cell: 3.97

The structure in CIF format:
```
data_In3ReS
_chemical_formula_sum 'In3 Re1 S1'
_space_group_name_H-M_alt 'P m -3 m'
_space_group_IT_number 221
_space_group_name_Hall '-P 4 2 3'
_cell_length_a 5.1567
_cell_length_b 5.1567
_cell_length_c 5.1567
_cell_angle_alpha 90.00
_cell_angle_beta 90.00
_cell_angle_gamma 90.00
loop_
_atom_site_label
_atom_site_fract_x
_atom_site_fract_y
_atom_site_fract_z
In1 0.0000 0.0000 0.5000
Re1 0.0000 0.0000 0.0000
S1 0.5000 0.5000 0.5000
```

<x>
## In3ReS (meta-GGA SCAN)

Data for a crystal of In3ReS relaxed with PBEsol.

DOS(E_F) in states/eV per cell: 4.49

The structure in CIF format:
```
data_In3ReS
_chemical_formula_sum 'In3 Re1 S1'
_space_group_name_H-M_alt 'P m -3 m'
_space_group_IT_number 221
_space_group_name_Hall '-P 4 2 3'
_cell_length_a 4.9543
_cell_length_b 4.9543
_cell_length_c 4.9543
_cell_angle_alpha 90.00
_cell_angle_beta 90.00
_cell_angle_gamma 90.00
loop_
_atom_site_label
_atom_site_fract_x
_atom_site_fract_y
_atom_site_fract_z
In1 0.0000 0.0000 0.5000
Re1 0.5000 0.5000 0.5000
S1 0.0000 0.0000 0.0000
```

Energy above the most stable structure, in eV/atom: <w> 0.000; <x> 0.684

<w>
## InReSe (meta-GGA SCAN)

Data for a crystal of InReSe relaxed with PBEsol.

DOS(E_F) in states/eV per cell: 16.56

The structure in CIF format:
```
data_InReSe
_chemical_formula_sum 'In4 Re4 Se4'
_space_group_name_H-M_alt 'F -4 3 m'
_space_group_IT_number 216
_space_group_name_Hall 'F -4 2 3'
_cell_length_a 6.2327
_cell_length_b 6.2327
_cell_length_c 6.2327
_cell_angle_alpha 90.00
_cell_angle_beta 90.00
_cell_angle_gamma 90.00
loop_
_atom_site_label
_atom_site_fract_x
_atom_site_fract_y
_atom_site_fract_z
In1 0.0000 0.0000 0.0000
Re1 0.2500 0.2500 0.7500
Se1 0.0000 0.0000 0.5000
```

<x>
## InReSe (meta-GGA SCAN)

Data for a crystal of InReSe relaxed with PBEsol.

DOS(E_F) in states/eV per cell: 3.35

The structure in CIF format:
```
data_InReSe
_chemical_formula_sum 'In2 Re2 Se2'
_space_group_name_H-M_alt 'I 4 m m'
_space_group_IT_number 107
_space_group_name_Hall 'I 4 -2'
_cell_length_a 3.0197
_cell_length_b 3.0197
_cell_length_c 12.5977
_cell_angle_alpha 90.00
_cell_angle_beta 90.00
_cell_angle_gamma 90.00
loop_
_atom_site_label
_atom_site_fract_x
_atom_site_fract_y
_atom_site_fract_z
In1 0.0000 0.0000 0.0000
Re1 0.0000 0.0000 0.6650
Se1 0.0000 0.0000 0.2706
```

Energy above the most stable structure, in eV/atom: <w> 0.571; <x> 0.000

<w>
## TaIn2Re (meta-GGA SCAN)

Data for a crystal of TaIn2Re relaxed with PBEsol.

DOS(E_F) in states/eV per cell: 9.26

The structure in CIF format:
```
data_TaIn2Re
_chemical_formula_sum 'Ta4 In8 Re4'
_space_group_name_H-M_alt 'F m -3 m'
_space_group_IT_number 225
_space_group_name_Hall '-F 4 2 3'
_cell_length_a 6.5605
_cell_length_b 6.5605
_cell_length_c 6.5605
_cell_angle_alpha 90.00
_cell_angle_beta 90.00
_cell_angle_gamma 90.00
loop_
_atom_site_label
_atom_site_fract_x
_atom_site_fract_y
_atom_site_fract_z
Ta1 0.0000 0.0000 0.0000
In1 0.2500 0.2500 0.2500
Re1 0.0000 0.0000 0.5000
```

<x>
## TaIn2Re (meta-GGA SCAN)

Data for a crystal of TaIn2Re relaxed with PBEsol.

DOS(E_F) in states/eV per cell: 3.14

The structure in CIF format:
```
data_TaIn2Re
_chemical_formula_sum 'Ta1 In2 Re1'
_space_group_name_H-M_alt 'P 4/m m m'
_space_group_IT_number 123
_space_group_name_Hall '-P 4 2'
_cell_length_a 2.8826
_cell_length_b 2.8826
_cell_length_c 8.6655
_cell_angle_alpha 90.00
_cell_angle_beta 90.00
_cell_angle_gamma 90.00
loop_
_atom_site_label
_atom_site_fract_x
_atom_site_fract_y
_atom_site_fract_z
Ta1 0.0000 0.0000 0.0000
In1 0.5000 0.5000 0.2610
Re1 0.0000 0.0000 0.5000
```

Energy above the most stable structure, in eV/atom: <w> 0.121; <x> 0.000

<w>
## InRe2Te (meta-GGA SCAN)

Data for a crystal of InRe2Te relaxed with PBEsol.

DOS(E_F) in states/eV per cell: 6.60

The structure in CIF format:
```
data_InRe2Te
_chemical_formula_sum 'In2 Re4 Te2'
_space_group_name_H-M_alt 'C 1 2/m 1'
_space_group_IT_number 12
_cell_length_a 8.7739
_cell_length_b 3.0397
_cell_length_c 5.4114
_cell_angle_alpha 90.00
_cell_angle_beta 100.84
_cell_angle_gamma 90.00
loop_
_space_group_symop_operation_xyz
'x,y,z'
'-x,-y,-z'
'-x,y,-z'
'x,-y,z'
'x+1/2,y+1/2,z'
'-x+1/2,-y+1/2,-z'
'-x+1/2,y+1/2,-z'
'x+1/2,-y+1/2,z'
loop_
_atom_site_label
_atom_site_fract_x
_atom_site_fract_y
_atom_site_fract_z
In1 0.0000 0.0000 0.0000
Re1 0.2467 0.5000 0.2766
Te1 0.0000 0.5000 0.5000
```

<x>
## InRe2Te (meta-GGA SCAN)

Data for a crystal of InRe2Te relaxed with PBEsol.

DOS(E_F) in states/eV per cell: 2.45

The structure in CIF format:
```
data_InRe2Te
_chemical_formula_sum 'In1 Re2 Te1'
_space_group_name_H-M_alt 'P 4 m m'
_space_group_IT_number 99
_cell_length_a 3.0043
_cell_length_b 3.0043
_cell_length_c 8.4178
_cell_angle_alpha 90.00
_cell_angle_beta 90.00
_cell_angle_gamma 90.00
loop_
_space_group_symop_operation_xyz
'x,y,z'
'-y,x,z'
'-x,-y,z'
'y,-x,z'
'-x,y,z'
'y,x,z'
'x,-y,z'
'-y,-x,z'
loop_
_atom_site_label
_atom_site_fract_x
_atom_site_fract_y
_atom_site_fract_z
In1 0.0000 0.0000 0.0000
Re1 0.0000 0.0000 0.4211
Re2 0.5000 0.5000 0.2383
Te1 0.5000 0.5000 0.6593
```

Energy above the most stable structure, in eV/atom: <w> 0.477; <x> 0.000

<w>
## YIn2Re (meta-GGA SCAN)

Data for a crystal of YIn2Re relaxed with PBEsol.

DOS(E_F) in states/eV per cell: 2.31

The structure in CIF format:
```
data_YIn2Re
_chemical_formula_sum 'Y1 In2 Re1'
_space_group_name_H-M_alt 'P 1 2/m 1'
_space_group_IT_number 10
_cell_length_a 3.0099
_cell_length_b 4.7246
_cell_length_c 5.9047
_cell_angle_alpha 90.00
_cell_angle_beta 103.77
_cell_angle_gamma 90.00
loop_
_space_group_symop_operation_xyz
'x,y,z'
'-x,-y,-z'
'-x,y,-z'
'x,-y,z'
loop_
_atom_site_label
_atom_site_fract_x
_atom_site_fract_y
_atom_site_fract_z
Y1 0.0000 0.0000 0.0000
In1 0.3452 0.5000 0.7314
Re1 0.5000 0.0000 0.5000
```

<x>
## YIn2Re (meta-GGA SCAN)

Data for a crystal of YIn2Re relaxed with PBEsol.

DOS(E_F) in states/eV per cell: 11.98

The structure in CIF format:
```
data_YIn2Re
_chemical_formula_sum 'Y3 In6 Re3'
_space_group_name_H-M_alt 'R 3 m'
_space_group_IT_number 160
_space_group_name_Hall 'R 3 -2"'
_cell_length_a 3.2672
_cell_length_b 3.2672
_cell_length_c 28.5668
_cell_angle_alpha 90.00
_cell_angle_beta 90.00
_cell_angle_gamma 120.00
loop_
_atom_site_label
_atom_site_fract_x
_atom_site_fract_y
_atom_site_fract_z
Y1 0.0000 0.0000 0.0000
In1 0.0000 0.0000 0.2358
In2 0.0000 0.0000 0.4787
Re1 0.0000 0.0000 0.7390
```

<y>
## YIn2Re (meta-GGA SCAN)

Data for a crystal of YIn2Re relaxed with PBEsol.

DOS(E_F) in states/eV per cell: 0.95

The structure in CIF format:
```
data_YIn2Re
_chemical_formula_sum 'Y2 In4 Re2'
_space_group_name_H-M_alt 'C 1 2/m 1'
_space_group_IT_number 12
_cell_length_a 9.6382
_cell_length_b 3.6523
_cell_length_c 5.0255
_cell_angle_alpha 90.00
_cell_angle_beta 108.99
_cell_angle_gamma 90.00
loop_
_space_group_symop_operation_xyz
'x,y,z'
'-x,-y,-z'
'-x,y,-z'
'x,-y,z'
'x+1/2,y+1/2,z'
'-x+1/2,-y+1/2,-z'
'-x+1/2,y+1/2,-z'
'x+1/2,-y+1/2,z'
loop_
_atom_site_label
_atom_site_fract_x
_atom_site_fract_y
_atom_site_fract_z
Y1 0.0000 0.0000 0.0000
In1 0.2322 0.0000 0.7064
Re1 0.0000 0.5000 0.5000
```

Energy above the most stable structure, in eV/atom: <w> 0.137; <x> 0.397; <y> 0.000

<w>
## ZrIn2Re (meta-GGA SCAN)

Data for a crystal of ZrIn2Re relaxed with PBEsol.

DOS(E_F) in states/eV per cell: 6.97

The structure in CIF format:
```
data_ZrIn2Re
_chemical_formula_sum 'Zr4 In8 Re4'
_space_group_name_H-M_alt 'F m -3 m'
_space_group_IT_number 225
_space_group_name_Hall '-F 4 2 3'
_cell_length_a 6.6626
_cell_length_b 6.6626
_cell_length_c 6.6626
_cell_angle_alpha 90.00
_cell_angle_beta 90.00
_cell_angle_gamma 90.00
loop_
_atom_site_label
_atom_site_fract_x
_atom_site_fract_y
_atom_site_fract_z
Zr1 0.0000 0.0000 0.0000
In1 0.2500 0.2500 0.2500
Re1 0.0000 0.0000 0.5000
```

<x>
## ZrIn2Re (meta-GGA SCAN)

Data for a crystal of ZrIn2Re relaxed with PBEsol.

DOS(E_F) in states/eV per cell: 5.33

The structure in CIF format:
```
data_ZrIn2Re
_chemical_formula_sum 'Zr2 In4 Re2'
_space_group_name_H-M_alt 'C m m 2'
_space_group_IT_number 35
_cell_length_a 3.3759
_cell_length_b 5.0370
_cell_length_c 9.4903
_cell_angle_alpha 90.00
_cell_angle_beta 90.00
_cell_angle_gamma 90.00
loop_
_space_group_symop_operation_xyz
'x,y,z'
'-x,-y,z'
'-x,y,z'
'x,-y,z'
'x+1/2,y+1/2,z'
'-x+1/2,-y+1/2,z'
'-x+1/2,y+1/2,z'
'x+1/2,-y+1/2,z'
loop_
_atom_site_label
_atom_site_fract_x
_atom_site_fract_y
_atom_site_fract_z
Zr1 0.0000 0.0000 0.0000
In1 0.0000 0.0000 0.4483
In2 0.0000 0.5000 0.7308
Re1 0.0000 0.5000 0.2124
```

<y>
## ZrIn2Re (meta-GGA SCAN)

Data for a crystal of ZrIn2Re relaxed with PBEsol.

DOS(E_F) in states/eV per cell: 5.63

The structure in CIF format:
```
data_ZrIn2Re
_chemical_formula_sum 'Zr2 In4 Re2'
_space_group_name_H-M_alt 'C 1 2/m 1'
_space_group_IT_number 12
_cell_length_a 9.8136
_cell_length_b 3.4265
_cell_length_c 4.7705
_cell_angle_alpha 90.00
_cell_angle_beta 107.15
_cell_angle_gamma 90.00
loop_
_space_group_symop_operation_xyz
'x,y,z'
'-x,-y,-z'
'-x,y,-z'
'x,-y,z'
'x+1/2,y+1/2,z'
'-x+1/2,-y+1/2,-z'
'-x+1/2,y+1/2,-z'
'x+1/2,-y+1/2,z'
loop_
_atom_site_label
_atom_site_fract_x
_atom_site_fract_y
_atom_site_fract_z
Zr1 0.0000 0.0000 0.0000
In1 0.2381 0.0000 0.7307
Re1 0.0000 0.5000 0.5000
```

Energy above the most stable structure, in eV/atom: <w> 0.091; <x> 0.127; <y> 0.000

<w>
## Ta2InRh2 (meta-GGA SCAN)

Data for a crystal of Ta2InRh2 relaxed with PBEsol.

DOS(E_F) in states/eV per cell: 6.56

The structure in CIF format:
```
data_Ta2InRh2
_chemical_formula_sum 'Ta4 In2 Rh4'
_space_group_name_H-M_alt 'I 4/m m m'
_space_group_IT_number 139
_space_group_name_Hall '-I 4 2'
_cell_length_a 4.3009
_cell_length_b 4.3009
_cell_length_c 10.2754
_cell_angle_alpha 90.00
_cell_angle_beta 90.00
_cell_angle_gamma 90.00
loop_
_atom_site_label
_atom_site_fract_x
_atom_site_fract_y
_atom_site_fract_z
Ta1 0.0000 0.5000 0.2500
In1 0.0000 0.0000 0.0000
Rh1 0.0000 0.0000 0.3794
```

<x>
## Ta2InRh2 (meta-GGA SCAN)

Data for a crystal of Ta2InRh2 relaxed with PBEsol.

DOS(E_F) in states/eV per cell: 4.64

The structure in CIF format:
```
data_Ta2InRh2
_chemical_formula_sum 'Ta4 In2 Rh4'
_space_group_name_H-M_alt 'P 4/m b m'
_space_group_IT_number 127
_space_group_name_Hall '-P 4 2ab'
_cell_length_a 7.5787
_cell_length_b 7.5787
_cell_length_c 2.9258
_cell_angle_alpha 90.00
_cell_angle_beta 90.00
_cell_angle_gamma 90.00
loop_
_atom_site_label
_atom_site_fract_x
_atom_site_fract_y
_atom_site_fract_z
Ta1 0.1640 0.3360 0.0000
In1 0.0000 0.0000 0.5000
Rh1 0.1291 0.6291 0.5000
```

Energy above the most stable structure, in eV/atom: <w> 0.219; <x> 0.000